1.
First-principles (GGA-PBE) data for SrZnAg3Au after structural relaxation, as listed in Alexandria via LeMat-Bulk.

```
12
Lattice="-2.249 0.630 5.289 -7.700 -1.919 -3.046 4.852 -4.828 2.638" Properties=species:S:1:pos:R:3 pbc="T T T"
Ag -6.935 -1.133 0.346
Zn -3.519 -5.962 0.794
Ag -3.014 -0.156 1.897
Au -5.344 -1.599 2.658
Ag -4.866 -4.365 3.191
Ag -1.889 -0.471 -0.747
Au 0.247 -4.519 2.223
Ag -0.232 -1.753 1.690
Ag -5.810 -1.448 -2.298
Sr -1.058 -3.162 4.667
Zn -1.578 -0.156 4.088
Sr -4.039 -2.955 0.214
```

Computed properties:
- formation enthalpy at 0 K (eV/atom) = -0.104
- V (Å³/cell) = 293.8
- Fermi-level density of states (states/eV per atom) = 0.306
- uncorrected energy (eV per atom) = -2.568
- space group = No. 63
- crystal system = orthorhombic

***

2.
First-principles (GGA-PBE) data for SrZn5AgAu2 after structural relaxation, as listed in Alexandria via LeMat-Bulk.

```
9
Lattice="-1.123 -4.629 1.600 4.610 -1.553 -1.258 2.525 1.812 7.015" Properties=species:S:1:pos:R:3 pbc="T T T"
Sr 1.262 0.906 3.508
Zn 4.365 0.702 5.094
Zn 1.498 -0.836 6.523
Zn -0.097 -1.981 2.092
Au 3.805 -1.612 5.898
Zn 2.770 -0.443 0.663
Au 2.207 -2.758 1.459
Zn 3.006 -2.185 3.679
Ag 0.000 0.000 0.000
```

Computed properties:
- formation enthalpy at 0 K (eV/atom) = -0.086
- V (Å³/cell) = 193.7
- Fermi-level density of states (states/eV per atom) = 0.303
- uncorrected energy (eV per atom) = -2.026
- space group = No. 123
- crystal system = tetragonal

***

> What is the formula in the second record?

SrZn5AgAu2

***

> The highest V belongs to which entry?

SrZnAg3Au

***

> Number 2 is which compound?

SrZn5AgAu2